(1)
Crystalline P2RuRhCl at its relaxed geometry, computed with GGA-PBEsol.

As for the energy relative to the elements, uncorrected: 1014 meV/atom. Its theoretical density is 5.37 g/cm3. The value obtained for the density of states at the Fermi level is 2.77 states/eV/f.u.

The structure belongs to space group P4/mmm (No. 123); the cell edges are 4.4523, 4.4523 and 4.7027 Å and the angles 90.00°, 90.00° and 90.00°. The asymmetric unit holds P at (0.0000, 0.5000, 0.0000), Ru at (0.0000, 0.0000, 0.5000), Rh at (0.5000, 0.5000, 0.0000) and Cl at (0.5000, 0.5000, 0.5000).

---

(2)
Crystalline PRhSCl2 at its relaxed geometry, computed with GGA-PBEsol.

As for the energy relative to the elements, uncorrected: 445 meV/atom. Its theoretical density is 4.05 g/cm3. The value obtained for the density of states at the Fermi level is 3.73 states/eV/f.u.

The structure belongs to space group P4/mmm (No. 123); the cell edges are 4.5875, 4.5875 and 4.6143 Å and the angles 90.00°, 90.00° and 90.00°. The asymmetric unit holds P at (0.0000, 0.0000, 0.0000), Rh at (0.0000, 0.0000, 0.5000), S at (0.5000, 0.5000, 0.0000) and Cl at (0.0000, 0.5000, 0.5000).

---

(3)
Crystalline P2RhSCl at its relaxed geometry, computed with GGA-PBEsol.

As for the energy relative to the elements, uncorrected: 1089 meV/atom. Its theoretical density is 4.52 g/cm3. The value obtained for the density of states at the Fermi level is 4.32 states/eV/f.u.

The structure belongs to space group P4/mmm (No. 123); the cell edges are 4.4404, 4.4404 and 4.3323 Å and the angles 90.00°, 90.00° and 90.00°. The asymmetric unit holds P at (0.0000, 0.5000, 0.0000), Rh at (0.0000, 0.0000, 0.5000), S at (0.5000, 0.5000, 0.0000) and Cl at (0.5000, 0.5000, 0.5000).